Entry 1:
Entry from Alexandria via LeMat-Bulk: crystalline Nd5SmTlIn2 at its relaxed geometry (PBE).

Cell: 8.9035 8.9035 14.2332 Å, 90.00 90.00 90.00°
Closest atoms and distances in Å follow each position.
Space group I4/mcm (No. 140)
Asymmetric unit:
Nd  0.0000  0.0000  0.0000  2 Tl 3.56, 4 In 3.62, 8 Nd 3.72
Nd  0.2058  0.2942  0.1337  1 In 3.02, 1 Sm 3.08
Sm  0.0000  0.5000  0.2500  4 Nd 3.08
Tl  0.0000  0.0000  0.2500  10 Nd 3.56-3.60
In  0.1079  0.3921  0.5000  1 In 2.72, 2 Nd 3.02

The value obtained for the density of states at the Fermi level is 30.32 states/eV/cell. The total magnetic moment is 0.00 μB per formula unit. For the formation energy, the calculation gives -0.1209 eV per atom.


Entry 2:
Entry from Alexandria via LeMat-Bulk: crystalline Ac2TlTe3 at its relaxed geometry (PBE).

Cell: 4.7339 4.7339 24.6238 Å, 90.00 90.00 120.00°
Closest atoms and distances in Å follow each position.
Space group P6_3/mmc (No. 194)
Asymmetric unit:
Ac  0.3333  0.6667  0.0802  6 Te 3.33-3.37
Tl  0.0000  0.0000  0.2500  6 Te 3.56
Te  0.0000  0.0000  0.0000  6 Ac 3.37
Te  0.3333  0.6667  0.6574  3 Ac 3.33, 3 Tl 3.56

The value obtained for the density of states at the Fermi level is 4.62 states/eV/cell. The total magnetic moment is 0.00 μB per formula unit. The calculation puts the polymorph energy (0 for the lowest one) at 0 meV per atom.


Entry 3:
Entry from Alexandria via LeMat-Bulk: crystalline CsDyAs2O8 at its relaxed geometry (PBE).

Cell: 5.8922 5.8922 8.6137 Å, 90.00 90.00 120.00°
Closest atoms and distances in Å follow each position.
Space group P-3 (No. 147)
Asymmetric unit:
Cs  0.0000  0.0000  0.0000  12 O 3.44-3.47
Dy  0.0000  0.0000  0.5000  6 O 2.24
As  0.3333  0.6667  0.7198  4 O 1.71-1.72
O  0.1720  0.3487  0.6576  1 As 1.71
O  0.3333  0.6667  0.9198  1 As 1.72

The value obtained for the density of states at the Fermi level is 11.70 states/eV/cell. The total magnetic moment is 2.04 μB per formula unit. The calculation puts the energy at -6.150 eV/atom.


Entry 4:
Entry from Alexandria via LeMat-Bulk: crystalline TlHgSb2 at its relaxed geometry (PBE).

Cell: 10.7413 3.2166 6.9869 Å, 90.00 92.43 90.00°
Closest atoms and distances in Å follow each position.
Space group Cm (No. 8)
Asymmetric unit:
Tl  0.0000  0.0000  0.0000  2 Tl 3.22, 3 Hg 3.24-3.47, 3 Sb 3.55
Hg  0.2528  0.0000  0.7627  2 Hg 3.22, 3 Tl 3.24-3.47, 1 Sb 3.39
Sb  0.0020  0.5000  0.4801  3 Sb 2.89-3.22
Sb  0.2353  0.5000  0.2876  3 Sb 2.89-3.22

The value obtained for the density of states at the Fermi level is 2.89 states/eV/cell. The total magnetic moment is 0.00 μB per formula unit. The calculation puts the polymorph energy (0 for the lowest one) at 71 meV per atom.


Entry 5:
Entry from Alexandria via LeMat-Bulk: crystalline ScTa2Pb at its relaxed geometry (PBE).

Cell: 10.4080 3.0789 5.2410 Å, 90.00 98.00 90.00°
Closest atoms and distances in Å follow each position.
Space group C2/m (No. 12)
Asymmetric unit:
Sc  0.0000  0.0000  0.0000  6 Ta 3.00-3.16, 4 Pb 3.04, 2 Sc 3.08
Ta  0.2463  0.0000  0.7637  6 Ta 2.91-3.17, 3 Sc 3.00-3.16, 3 Pb 3.14-3.15
Pb  0.0000  0.5000  0.5000  4 Sc 3.04, 2 Pb 3.08, 6 Ta 3.14-3.15

The value obtained for the density of states at the Fermi level is 8.35 states/eV/cell. The total magnetic moment is 0.00 μB per formula unit. For the formation energy, the calculation gives 0.2515 eV per atom.


Entry 6:
Entry from Alexandria via LeMat-Bulk: crystalline Tb4N2Cl3 at its relaxed geometry (PBE).

Cell: 13.7008 3.4253 8.1398 Å, 90.00 102.25 90.00°
Closest atoms and distances in Å follow each position.
Space group C2/m (No. 12)
Asymmetric unit:
Tb  0.0935  0.0000  0.2123  2 N 2.29
Tb  0.1798  0.5000  0.6006  3 N 2.37-2.44
N  0.2015  0.5000  0.3102  5 Tb 2.29-2.44
Cl  0.0000  0.0000  0.5000  6 Tb 2.90-2.97
Cl  0.0884  0.5000  0.8976  5 Tb 2.95-3.07, 1 Cl 3.22

The value obtained for the density of states at the Fermi level is 4.77 states/eV/cell. The total magnetic moment is 0.00 μB per formula unit. The calculation puts the energy at -6.129 eV/atom.


Entry 7:
Entry from Alexandria via LeMat-Bulk: crystalline CoSiPt2 at its relaxed geometry (PBE).

Cell: 3.7973 3.7973 7.6088 Å, 90.00 90.00 90.00°
Closest atoms and distances in Å follow each position.
Space group I-4m2 (No. 119)
Asymmetric unit:
Co  0.0000  0.0000  0.0000  8 Pt 2.69, 4 Si 2.69
Si  0.0000  0.5000  0.2500  8 Pt 2.69, 4 Co 2.69
Pt  0.0000  0.0000  0.5000  4 Co 2.69, 4 Pt 2.69, 4 Si 2.69
Pt  0.0000  0.5000  0.7500  4 Si 2.69, 4 Pt 2.69, 4 Co 2.69

The value obtained for the density of states at the Fermi level is 8.24 states/eV/cell. The total magnetic moment is 1.57 μB per formula unit. The calculation puts the energy at -6.365 eV/atom.


Entry 8:
Entry from Alexandria via LeMat-Bulk: crystalline Ce2S2O at its relaxed geometry (PBE).

Cell: 6.5070 11.2304 5.7362 Å, 90.00 90.00 90.00°
Closest atoms and distances in Å follow each position.
Space group Ibam (No. 72)
Asymmetric unit:
Ce  0.2196  0.1061  0.0000  2 O 2.35
S  0.1585  0.3550  0.0000  5 Ce 2.82-3.01, 2 O 3.11
O  0.0000  0.0000  0.2500  4 Ce 2.35

The value obtained for the density of states at the Fermi level is 47.17 states/eV/cell. The total magnetic moment is 1.77 μB per formula unit. The calculation puts the polymorph energy (0 for the lowest one) at 11 meV per atom.


Entry 9:
Entry from Alexandria via LeMat-Bulk: crystalline InPRuS2 at its relaxed geometry (PBE).

Cell: 4.8769 4.8769 4.4256 Å, 90.00 90.00 90.00°
Closest atoms and distances in Å follow each position.
Space group P4/mmm (No. 123)
Asymmetric unit:
In  0.0000  0.0000  0.0000  8 S 3.29, 4 P 3.45
P  0.5000  0.5000  0.0000  2 Ru 2.21
Ru  0.5000  0.5000  0.5000  2 P 2.21, 4 S 2.44
S  0.0000  0.5000  0.5000  2 Ru 2.44

The value obtained for the density of states at the Fermi level is 6.34 states/eV/cell. The total magnetic moment is 0.02 μB per formula unit. The calculation puts the polymorph energy (0 for the lowest one) at 0 meV per atom.


Entry 10:
Entry from Alexandria via LeMat-Bulk: crystalline Al2TlIrO8 at its relaxed geometry (PBE).

Cell: 4.5568 6.3322 4.5633 Å, 90.00 90.51 90.00°
Closest atoms and distances in Å follow each position.
Space group P2/m (No. 10)
Asymmetric unit:
Al  0.0000  0.2504  0.0000  6 O 1.88-2.03
Tl  0.5000  0.0000  0.5000  6 O 2.11-2.27
Ir  0.5000  0.5000  0.5000  6 O 1.93-1.94
O  0.1718  0.0000  0.1703  2 Al 1.93, 1 Tl 2.11
O  0.1991  0.5000  0.1977  1 Ir 1.94, 2 Al 2.03
O  0.2877  0.2859  0.7105  1 Al 1.88, 1 Ir 1.93

The value obtained for the density of states at the Fermi level is 6.83 states/eV/cell. The total magnetic moment is 0.00 μB per formula unit. The calculation puts the energy at -6.318 eV/atom.


Entry 11:
Entry from Alexandria via LeMat-Bulk: crystalline Rb2LiBiBr6 at its relaxed geometry (PBE).

Cell: 11.2229 11.2229 11.2229 Å, 90.00 90.00 90.00°
Closest atoms and distances in Å follow each position.
Space group Fm-3m (No. 225)
Asymmetric unit:
Rb  0.2500  0.2500  0.2500  12 Br 3.97
Li  0.0000  0.0000  0.0000  6 Br 2.75
Bi  0.0000  0.0000  0.5000  6 Br 2.86
Br  0.0000  0.0000  0.2450  1 Li 2.75, 1 Bi 2.86

The value obtained for the density of states at the Fermi level is 0.00 states/eV/cell. The total magnetic moment is 0.00 μB per formula unit. The calculation puts the polymorph energy (0 for the lowest one) at 15 meV per atom.


Entry 12:
Entry from Alexandria via LeMat-Bulk: crystalline YHf3Pd at its relaxed geometry (PBE).

Cell: 5.0844 5.0844 5.0844 Å, 90.00 90.00 90.00°
Closest atoms and distances in Å follow each position.
Space group Pm-3m (No. 221)
Asymmetric unit:
Y  0.0000  0.0000  0.0000  12 Hf 3.60
Hf  0.0000  0.5000  0.5000  2 Pd 2.54
Pd  0.5000  0.5000  0.5000  6 Hf 2.54

The value obtained for the density of states at the Fermi level is 18.45 states/eV/cell. The total magnetic moment is 0.00 μB per formula unit. For the formation energy, the calculation gives 0.3205 eV per atom.


What did the eighth record say?
Entry from Alexandria via LeMat-Bulk: crystalline Ce2S2O at its relaxed geometry (PBE).

Cell: 6.5070 11.2304 5.7362 Å, 90.00 90.00 90.00°
Closest atoms and distances in Å follow each position.
Space group Ibam (No. 72)
Asymmetric unit:
Ce  0.2196  0.1061  0.0000  2 O 2.35
S  0.1585  0.3550  0.0000  5 Ce 2.82-3.01, 2 O 3.11
O  0.0000  0.0000  0.2500  4 Ce 2.35

The value obtained for the density of states at the Fermi level is 47.17 states/eV/cell. The total magnetic moment is 1.77 μB per formula unit. The calculation puts the polymorph energy (0 for the lowest one) at 11 meV per atom.